1.
Ca2FeMo: optimized geometry, PBE.

ΔE to the lowest computed polymorph = 469 meV per atom

```
data_Ca2FeMo
_chemical_formula_sum 'Ca2 Fe1 Mo1'
_cell_length_a 2.9270
_cell_length_b 2.9270
_cell_length_c 9.6070
_cell_angle_alpha 90.00
_cell_angle_beta 90.00
_cell_angle_gamma 90.00
_space_group_name_H-M_alt 'P 4/m m m'
_space_group_IT_number 123
_space_group_name_Hall '-P 4 2'
loop_
_atom_site_label
_atom_site_type_symbol
_atom_site_fract_x
_atom_site_fract_y
_atom_site_fract_z
Ca1 Ca 0.0000 0.0000 0.2403
Fe1 Fe 0.5000 0.5000 0.0000
Mo1 Mo 0.5000 0.5000 0.5000
```


2.
CaFe2Mo: optimized geometry, PBE.

```
data_CaFe2Mo
_chemical_formula_sum 'Ca1 Fe2 Mo1'
_cell_length_a 3.0870
_cell_length_b 3.0870
_cell_length_c 6.9543
_cell_angle_alpha 90.00
_cell_angle_beta 90.00
_cell_angle_gamma 90.00
_space_group_name_H-M_alt 'P 4/m m m'
_space_group_IT_number 123
_space_group_name_Hall '-P 4 2'
loop_
_atom_site_label
_atom_site_type_symbol
_atom_site_fract_x
_atom_site_fract_y
_atom_site_fract_z
Ca1 Ca 0.0000 0.0000 0.0000
Fe1 Fe 0.5000 0.5000 0.3154
Mo1 Mo 0.0000 0.0000 0.5000
```


3.
CaFe2Mo: optimized geometry, PBE.

```
data_CaFe2Mo
_chemical_formula_sum 'Ca3 Fe6 Mo3'
_cell_length_a 4.1706
_cell_length_b 4.1706
_cell_length_c 15.4931
_cell_angle_alpha 90.00
_cell_angle_beta 90.00
_cell_angle_gamma 120.00
_space_group_name_H-M_alt 'R -3 m'
_space_group_IT_number 166
_space_group_name_Hall '-R 3 2"'
loop_
_atom_site_label
_atom_site_type_symbol
_atom_site_fract_x
_atom_site_fract_y
_atom_site_fract_z
Ca1 Ca 0.0000 0.0000 0.0000
Fe1 Fe 0.0000 0.0000 0.1959
Mo1 Mo 0.0000 0.0000 0.5000
```


Number 1: E_tot -5.02 eV per atom. Number 2: E_tot -7.08 eV per atom. Number 3: E_tot -7.02 eV per atom.